Record 1
{
  "formula": "Pm6Os2AuCl3",
  "functional": "PBE",
  "state": "relaxed",
  "cell": [[-3.169, 6.152, 1.943], [1.733, -4.900, 4.965], [7.230, 2.814, -1.437]],
  "species": ["Pm", "Pm", "Pm", "Pm", "Pm", "Pm", "Os", "Os", "Au", "Cl", "Cl", "Cl"],
  "frac_coords": [[0.932, 0.575, 0.793], [0.708, 0.708, 0.206], [0.068, 0.425, 0.207], [0.575, 0.932, 0.793], [0.292, 0.292, 0.794], [0.425, 0.068, 0.207], [0.334, 0.666, 0.000], [0.666, 0.334, 0.000], [0.000, 0.000, 0.000], [0.176, 0.824, 0.500], [0.824, 0.176, 0.500], [0.500, 0.500, 0.500]],
  "density_g_cm3": 7.67,
  "e_form_raw_kj_per_mol_atoms": -90.5,
  "e_tot_ev_per_cell": -71.032,
  "total_magnetization_mub_per_fu": 0.00
}

Record 2
{
  "formula": "OsAuS2Cl",
  "functional": "PBE",
  "state": "relaxed",
  "cell": [[4.534, 0.000, 0.000], [0.000, 4.534, 0.000], [0.000, 0.000, 5.056]],
  "species": ["Os", "S", "S", "Au", "Cl"],
  "frac_coords": [[0.000, 0.000, 0.000], [0.000, 0.500, 0.000], [0.500, 0.000, 0.000], [0.500, 0.500, 0.500], [0.000, 0.000, 0.500]],
  "density_g_cm3": 7.78,
  "e_form_raw_kj_per_mol_atoms": 57.0,
  "e_tot_ev_per_cell": -21.657,
  "total_magnetization_mub_per_fu": 0.00,
  "relative_energy_ev_per_atom": 0.0000
}

Record 3
{
  "formula": "OsAuSCl2",
  "functional": "PBE",
  "state": "relaxed",
  "cell": [[4.961, 0.000, 0.000], [0.000, 4.961, 0.000], [0.000, 0.000, 4.388]],
  "species": ["Os", "S", "Au", "Cl", "Cl"],
  "frac_coords": [[0.000, 0.000, 0.000], [0.000, 0.000, 0.500], [0.500, 0.500, 0.500], [0.000, 0.500, 0.000], [0.500, 0.000, 0.000]],
  "density_g_cm3": 7.54,
  "e_form_raw_kj_per_mol_atoms": 47.9,
  "e_tot_ev_per_cell": -19.844,
  "total_magnetization_mub_per_fu": 0.00,
  "relative_energy_ev_per_atom": 0.0000
}